A relaxed SrAgTeN2 crystal, computed with PBE.

Cell lengths 4.810, 4.810, 6.777 Å; angles 90.00, 90.00, 90.00 degrees
Space group P4/mmm (No. 123)
Unique sites:
Sr 0.000 0.000 0.000 [1 per cell]
Ag 0.500 0.500 0.500 [1 per cell]
Te 0.000 0.000 0.500 [1 per cell]
N 0.000 0.500 0.000 [2 per cell]

- E: -17.51 eV/cell
- DOS at the Fermi energy: 3.0 states/eV per cell
- Excess energy over the best structure of this formula in the dataset: 362 meV/atom
- Formation energy from raw total energies: 1.363 eV per atom

---

A relaxed SrAgTeN2 crystal, computed with PBE.

Cell lengths 4.271, 4.271, 6.572 Å; angles 90.00, 90.00, 90.00 degrees
Space group P4/mmm (No. 123)
Unique sites:
Sr 0.000 0.000 0.000 [1 per cell]
Ag 0.500 0.500 0.000 [1 per cell]
Te 0.000 0.000 0.500 [1 per cell]
N 0.000 0.500 0.500 [2 per cell]

- E: -18.11 eV/cell
- DOS at the Fermi energy: 5.0 states/eV per cell
- Excess energy over the best structure of this formula in the dataset: 241 meV/atom
- Formation energy from raw total energies: 1.242 eV per atom